No. 1
! Ba6Ag5Pb, optimized geometry, DFT PBE; values from VASP
! spin magnetization = 0.000 μB/f.u.
! formation energy = -0.293 eV per atom
! Fermi-level density of states = 9.73 states/eV/cell
&SYSTEM
  ibrav = 0, nat = 12, ntyp = 3
/
ATOMIC_SPECIES
Ba 137.33 Ba.upf
Ag 107.87 Ag.upf
Pb 207.20 Pb.upf
CELL_PARAMETERS angstrom
-2.9280 4.1951 8.8236
2.9280 -4.1951 8.8236
2.9280 4.1951 -8.8236
ATOMIC_POSITIONS crystal
Ba 0.0819 0.3328 0.7491
Ba 0.2454 0.0000 0.2454
Ba 0.4163 0.6672 0.7491
Ba 0.5837 0.3328 0.2509
Ba 0.7546 0.0000 0.7546
Ba 0.9181 0.6672 0.2509
Ag 0.0000 0.5000 0.5000
Ag 0.1683 0.1683 0.0000
Ag 0.3355 0.8355 0.5000
Ag 0.6645 0.1645 0.5000
Ag 0.8317 0.8317 0.0000
Pb 0.5000 0.5000 0.0000

***

No. 2
! BaAgPb, optimized geometry, DFT PBE; values from VASP
! spin magnetization = 0.001 μB/f.u.
! formation energy = -0.233 eV per atom
! Fermi-level density of states = 18.95 states/eV/cell
&SYSTEM
  ibrav = 0, nat = 12, ntyp = 3
/
ATOMIC_SPECIES
Ba 137.33 Ba.upf
Ag 107.87 Ag.upf
Pb 207.20 Pb.upf
CELL_PARAMETERS angstrom
7.5225 0.0000 0.0000
0.0000 7.5225 0.0000
0.0000 0.0000 7.5225
ATOMIC_POSITIONS crystal
Ba 0.0000 0.0000 0.0000
Ba 0.0000 0.5000 0.5000
Ba 0.5000 0.0000 0.5000
Ba 0.5000 0.5000 0.0000
Ag 0.2500 0.2500 0.2500
Ag 0.2500 0.7500 0.7500
Ag 0.7500 0.2500 0.7500
Ag 0.7500 0.7500 0.2500
Pb 0.0000 0.0000 0.5000
Pb 0.0000 0.5000 0.0000
Pb 0.5000 0.0000 0.0000
Pb 0.5000 0.5000 0.5000

***

No. 3
! Ba2Ag3Pb, optimized geometry, DFT PBE; values from VASP
! ΔE to the lowest computed polymorph = 0.06 eV per formula unit
! spin magnetization = 0.000 μB/f.u.
! formation energy = -0.290 eV per atom
! Fermi-level density of states = 5.83 states/eV/cell
&SYSTEM
  ibrav = 0, nat = 12, ntyp = 3
/
ATOMIC_SPECIES
Ba 137.33 Ba.upf
Ag 107.87 Ag.upf
Pb 207.20 Pb.upf
CELL_PARAMETERS angstrom
4.7716 0.0000 0.0000
0.0000 4.8000 0.0000
0.0000 0.0000 17.4112
ATOMIC_POSITIONS crystal
Ba 0.0000 0.0000 0.0000
Ba 0.0000 0.5000 0.2402
Ba 0.5000 0.0000 0.7402
Ba 0.5000 0.5000 0.5000
Ag 0.0000 0.0000 0.5787
Ag 0.0000 0.5000 0.6613
Ag 0.0000 0.5000 0.8219
Ag 0.5000 0.0000 0.1613
Ag 0.5000 0.0000 0.3219
Ag 0.5000 0.5000 0.0787
Pb 0.0000 0.0000 0.4075
Pb 0.5000 0.5000 0.9075